1.
Below is Nd5Sm2YEr after structural relaxation, with properties calculated at the GGA-PBE level.

E_form: 284 meV/atom
Energy: -4.64 eV/atom
Calculated density: 6.804 Mg/m³
Crystal system: tetragonal

Unit cell a=8.666 b=8.666 c=16.614 alpha=90.00 beta=90.00 gamma=90.00
Space group I4/mcm (No. 140)
Symmetry-distinct sites (fractional):
Nd1 0.000 0.000 0.000
Nd2 0.215 0.285 0.142
Sm1 0.121 0.379 0.500
Y1 0.000 0.000 0.250
Er1 0.000 0.500 0.250

2.
Below is La2PmNd4 after structural relaxation, with properties calculated at the GGA-PBE level.

E_form: 213 meV/atom
Energy: -4.60 eV/atom
Calculated density: 6.489 Mg/m³
Crystal system: tetragonal

Unit cell a=4.695 b=4.695 c=23.210 alpha=90.00 beta=90.00 gamma=90.00
Space group I4/mmm (No. 139)
Symmetry-distinct sites (fractional):
La1 0.000 0.000 0.097
Pm1 0.000 0.000 0.500
Nd1 0.000 0.000 0.362
Nd2 0.000 0.500 0.250

3.
Below is AgPd8Au5 after structural relaxation, with properties calculated at the GGA-PBE level.

E_form: 137 meV/atom
Energy: -4.20 eV/atom
Calculated density: 12.925 Mg/m³
Crystal system: tetragonal

Unit cell a=7.596 b=7.596 c=8.656 alpha=90.00 beta=90.00 gamma=90.00
Space group I-4 (No. 82)
Symmetry-distinct sites (fractional):
Ag1 0.000 0.000 0.000
Pd1 0.073 0.168 0.628
Pd2 0.091 0.338 0.011
Au1 0.000 0.500 0.750
Au2 0.139 0.283 0.319

4.
Below is UTl2IO6 after structural relaxation, with properties calculated at the GGA-PBE level.

Energy: -6.21 eV/atom
Calculated density: 7.845 Mg/m³
Crystal system: tetragonal
ΔE_f (raw): -1.48 eV/atom

Unit cell a=5.999 b=5.999 c=10.230 alpha=90.00 beta=90.00 gamma=90.00
Space group I4/mmm (No. 139)
Symmetry-distinct sites (fractional):
U1 0.000 0.000 0.000
Tl1 0.000 0.500 0.250
I1 0.000 0.000 0.500
O1 0.000 0.000 0.188
O2 0.243 0.243 0.500

5.
Below is Mg17Al11In after structural relaxation, with properties calculated at the GGA-PBE level.

E_form: -31 meV/atom
Energy: -2.48 eV/atom
Calculated density: 2.309 Mg/m³
Crystal system: monoclinic

Unit cell a=10.588 b=14.949 c=9.166 alpha=90.00 beta=125.16 gamma=90.00
Space group Cm (No. 8)
Symmetry-distinct sites (fractional):
Mg1 0.000 0.000 0.000
Mg2 0.000 0.342 0.058
Mg3 0.096 0.160 0.257
Mg4 0.154 0.500 0.317
Mg5 0.161 0.500 0.663
Mg6 0.173 0.198 0.977
Mg7 0.197 0.146 0.662
Mg8 0.259 0.000 0.945
Mg9 0.356 0.300 0.345
Mg10 0.465 0.500 0.375
Mg11 0.490 0.174 0.665
Al1 0.156 0.317 0.476
Al2 0.254 0.407 0.028
Al3 0.342 0.317 0.845
Al4 0.386 0.093 0.291
Al5 0.433 0.409 0.660
Al6 0.483 0.000 0.859
In1 0.286 0.000 0.484

6.
Below is TbSnRu2C after structural relaxation, with properties calculated at the GGA-PBE level.

E_form: -295 meV/atom
Energy: -7.58 eV/atom
Calculated density: 9.199 Mg/m³
Crystal system: orthorhombic

Unit cell a=3.987 b=11.703 c=7.611 alpha=90.00 beta=90.00 gamma=90.00
Space group Cmcm (No. 63)
Symmetry-distinct sites (fractional):
Tb1 0.000 0.039 0.250
Sn1 0.000 0.238 0.750
Ru1 0.000 0.347 0.056
C1 0.000 0.500 0.000